TbEr3Tl: relaxed, GGA-PBE.

extended XYZ file:
```
20
Lattice="7.251 -6.541 0.000 7.251 6.541 0.000 -1.573 0.000 6.295" Properties=species:S:1:pos:R:3 pbc="T T T"
Tb 0.788 0.879 2.920
Tb 0.002 -0.879 6.067
Tb 12.927 0.879 0.228
Tb 12.140 -0.879 3.375
Er 5.790 4.053 0.148
Er 3.947 2.445 2.267
Er 3.042 0.959 5.406
Er 7.925 4.053 2.999
Er 3.829 -0.959 2.259
Er 3.160 -2.445 5.414
Er 9.768 2.445 0.880
Er 9.100 0.959 4.036
Er 5.003 -4.053 3.295
Er 9.886 -0.959 0.889
Er 8.982 -2.445 4.028
Er 7.139 -4.053 6.146
Tl 6.071 2.190 4.721
Tl 6.858 1.085 1.574
Tl 6.071 -1.085 4.721
Tl 6.858 -2.190 1.574
```

Computed properties:
- ΔH_f (0 K): -0.04 eV per atom
- Magnetization: 0.00 μB/cell
- Excess energy over the best structure of this formula in the dataset: 74 meV/atom
- Space group: C2/c (15)

=====

Tb2Er4Tl: relaxed, GGA-PBE.

extended XYZ file:
```
14
Lattice="5.798 0.000 0.000 0.000 6.631 0.000 -2.652 0.000 11.029" Properties=species:S:1:pos:R:3 pbc="T T T"
Tb -0.931 1.658 5.275
Tb 1.749 4.973 0.743
Tb 1.397 1.658 10.286
Tb 4.077 4.973 5.753
Er -1.140 0.063 8.701
Er -1.140 3.253 8.701
Er 1.078 1.658 0.787
Er 1.199 4.973 4.038
Er 1.948 1.658 6.990
Er 2.068 4.973 10.242
Er 4.286 3.378 2.328
Er 4.286 6.568 2.328
Tl 1.897 1.658 3.804
Tl 1.249 4.973 7.225
```

Computed properties:
- ΔH_f (0 K): 0.01 eV per atom
- Magnetization: 0.00 μB/cell
- Space group: P2_1/m (11)

=====

TbEr4Tl7: relaxed, GGA-PBE.

extended XYZ file:
```
12
Lattice="6.727 -2.833 0.000 6.727 2.833 0.000 -6.256 0.000 9.404" Properties=species:S:1:pos:R:3 pbc="T T T"
Tb 0.000 0.000 0.000
Er -0.421 0.000 6.332
Er 4.242 0.000 2.038
Er 2.955 0.000 7.365
Er 7.618 0.000 3.072
Tl -0.958 0.000 3.087
Tl -2.729 0.000 8.419
Tl 2.079 0.000 4.269
Tl 6.727 0.000 0.000
Tl 5.118 0.000 5.135
Tl 9.927 0.000 0.985
Tl 8.155 0.000 6.317
```

Computed properties:
- ΔH_f (0 K): -0.09 eV per atom
- Magnetization: 0.00 μB/cell
- Space group: C2/m (12)

=====

TbEr3Tl: relaxed, GGA-PBE.

extended XYZ file:
```
10
Lattice="2.395 -12.629 0.000 2.395 12.629 0.000 0.000 0.000 4.767" Properties=species:S:1:pos:R:3 pbc="T T T"
Tb 2.395 8.865 3.575
Tb 2.395 -8.865 1.192
Er 2.395 11.436 1.192
Er 2.395 6.294 1.192
Er 2.395 1.299 1.192
Er 2.395 -1.299 3.575
Er 2.395 -6.294 3.575
Er 2.395 -11.436 3.575
Tl 2.395 3.837 3.575
Tl 2.395 -3.837 1.192
```

Computed properties:
- ΔH_f (0 K): -0.11 eV per atom
- Magnetization: 0.39 μB/cell
- Excess energy over the best structure of this formula in the dataset: 0 meV/atom
- Space group: Cmcm (63)

=====

Tb2Er2Tl3: relaxed, GGA-PBE.

extended XYZ file:
```
7
Lattice="1.753 -15.950 0.000 1.753 15.950 0.000 0.000 0.000 3.560" Properties=species:S:1:pos:R:3 pbc="T T T"
Tb 1.753 13.764 0.000
Tb 1.753 -13.764 0.000
Er 1.753 9.499 0.000
Er 1.753 -9.499 0.000
Tl 1.753 4.371 1.780
Tl 1.753 0.000 1.780
Tl 1.753 -4.371 1.780
```

Computed properties:
- ΔH_f (0 K): -0.21 eV per atom
- Magnetization: 0.00 μB/cell
- Excess energy over the best structure of this formula in the dataset: 0 meV/atom
- Space group: Cmmm (65)

=====

TbEr2Tl3: relaxed, GGA-PBE.

extended XYZ file:
```
6
Lattice="3.647 0.000 0.000 0.000 3.647 0.000 0.000 0.000 12.225" Properties=species:S:1:pos:R:3 pbc="T T T"
Tb 0.000 0.000 0.000
Er 0.000 0.000 4.089
Er 0.000 0.000 8.136
Tl 1.824 1.824 2.071
Tl 1.824 1.824 6.113
Tl 1.824 1.824 10.155
```

Computed properties:
- ΔH_f (0 K): -0.33 eV per atom
- Magnetization: 0.00 μB/cell
- Space group: P4/mmm (123)

=====

Please write out number 4 again, unchanged.
TbEr3Tl: relaxed, GGA-PBE.

extended XYZ file:
```
10
Lattice="2.395 -12.629 0.000 2.395 12.629 0.000 0.000 0.000 4.767" Properties=species:S:1:pos:R:3 pbc="T T T"
Tb 2.395 8.865 3.575
Tb 2.395 -8.865 1.192
Er 2.395 11.436 1.192
Er 2.395 6.294 1.192
Er 2.395 1.299 1.192
Er 2.395 -1.299 3.575
Er 2.395 -6.294 3.575
Er 2.395 -11.436 3.575
Tl 2.395 3.837 3.575
Tl 2.395 -3.837 1.192
```

Computed properties:
- ΔH_f (0 K): -0.11 eV per atom
- Magnetization: 0.39 μB/cell
- Excess energy over the best structure of this formula in the dataset: 0 meV/atom
- Space group: Cmcm (63)

=====

Copy entry 6 word for word.
TbEr2Tl3: relaxed, GGA-PBE.

extended XYZ file:
```
6
Lattice="3.647 0.000 0.000 0.000 3.647 0.000 0.000 0.000 12.225" Properties=species:S:1:pos:R:3 pbc="T T T"
Tb 0.000 0.000 0.000
Er 0.000 0.000 4.089
Er 0.000 0.000 8.136
Tl 1.824 1.824 2.071
Tl 1.824 1.824 6.113
Tl 1.824 1.824 10.155
```

Computed properties:
- ΔH_f (0 K): -0.33 eV per atom
- Magnetization: 0.00 μB/cell
- Space group: P4/mmm (123)

=====

Question: What is the ΔH_f (0 K) in the fourth record?
Answer: -0.11 eV per atom

=====

Question: The highest ΔH_f (0 K) belongs to which entry?
Answer: Tb2Er4Tl